Record 1
1
Lattice="-2.147 4.549 -1.592 1.545 -3.576 -3.558 -4.513 -2.083 0.134" Properties=species:S:1:pos:R:3 comment="Cs PBE relaxed" ef_mev_per_atom=53 vol_a3_per_fu=119.9 sg="No. 191" relative_energy_mev_per_atom=53 crystal_system=hexagonal pbc="T T T"
Cs 0.000 0.000 0.000

Record 2
4
Lattice="-4.570 9.076 -0.573 -5.158 7.528 -4.507 -7.800 6.396 -1.352" Properties=species:S:1:pos:R:3 comment="SrCaCl2 PBE relaxed" vol_a3_per_fu=155.8 sg="No. 160" relative_energy_mev_per_atom=0 crystal_system=trigonal e_form_raw_ev_per_atom=-1.688 pbc="T T T"
Ca -12.834 16.840 -4.709
Cl -0.376 0.493 -0.138
Cl -4.072 5.343 -1.494
Sr -9.011 11.824 -3.306

Record 3
8
Lattice="3.911 0.000 0.000 0.000 3.911 0.000 1.955 1.955 8.477" Properties=species:S:1:pos:R:3 comment="Nb2CuF PBE relaxed" vol_a3_per_fu=64.8 sg="No. 122" relative_energy_mev_per_atom=211 crystal_system=tetragonal e_form_raw_ev_per_atom=0.097 pbc="T T T"
Nb 4.888 4.870 6.357
Nb 2.915 0.978 2.119
Nb 0.996 2.933 2.119
Nb 2.933 2.951 6.357
F 1.955 1.955 0.000
F 1.955 3.911 4.238
Cu 0.000 0.000 0.000
Cu 3.911 1.955 4.238